Entry 1:
ZrBe3Pd2, optimized geometry, DFT PBE; M_tot = 0.0 μB/f.u.; uncorrected energy = -5.3993 eV per atom; density = 7.20 g/cm3
1.0
2.9247 0.0000 0.0000
0.0000 2.9247 0.0000
0.0000 0.0000 8.9280
Be Pd Zr
3 2 1
Cartesian
1.4623 1.4623 3.4706
1.4623 1.4623 5.9607
0.0000 0.0000 7.1622
1.4623 1.4623 8.3651
0.0000 0.0000 4.7166
0.0000 0.0000 1.5728

***

Entry 2:
Zr3Sb7Pd, optimized geometry, DFT PBE; M_tot = 0.0 μB/f.u.; uncorrected energy = -5.9762 eV per atom; density = 7.87 g/cm3
1.0
17.8085 0.0000 0.0000
0.0000 3.9861 0.0000
0.0000 0.0000 14.6571
Sb Zr Pd
28 12 4
Cartesian
0.6423 2.9896 13.6187
16.5378 0.9965 8.2084
4.4795 0.9965 7.0379
17.1662 0.9965 1.0384
17.4675 0.9965 4.4694
4.8462 0.9965 2.1662
3.8518 0.9965 12.0009
4.4247 2.9896 14.3665
7.6335 0.9965 13.7772
13.7504 0.9965 5.1624
12.7561 0.9965 9.9847
1.6579 2.9896 2.5778
8.5633 0.9965 2.8592
0.3410 2.9896 10.1877
13.9567 2.9896 2.6562
16.1506 0.9965 12.0793
5.0525 2.9896 4.6724
10.1750 2.9896 0.8799
8.2619 0.9965 6.2901
13.3838 0.9965 0.2906
7.2464 0.9965 9.9063
10.5622 2.9896 4.7508
9.2452 2.9896 11.7979
4.0581 2.9896 9.4947
9.5466 2.9896 8.3669
13.3290 2.9896 7.6192
1.2707 2.9896 6.4487
12.9623 2.9896 12.4909
6.1858 2.9896 11.8804
10.8268 0.9965 13.3629
15.8860 2.9896 6.0344
11.6228 0.9965 2.7767
2.3257 0.9965 0.4541
6.5785 2.9896 7.7826
6.9817 2.9896 1.2941
15.0900 2.9896 10.1052
15.4828 2.9896 14.2030
1.9225 0.9965 8.6227
2.7185 0.9965 4.5518
11.2300 0.9965 6.8744
10.0738 0.9965 10.1183
16.6389 2.9896 2.7898
7.7347 2.9896 4.5388
1.1696 0.9965 11.8673

***

Entry 3:
CuReSiPt, optimized geometry, DFT PBE; M_tot = 0.0 μB/f.u.; density = 14.01 g/cm3; polymorph energy (0 for the lowest one) = 0 meV/atom
1.0
0.0000 3.0378 3.0378
3.0378 0.0000 3.0378
3.0378 3.0378 0.0000
Cu Pt Si Re
1 1 1 1
Cartesian
4.5567 4.5567 4.5567
3.0378 3.0378 3.0378
0.0000 0.0000 0.0000
1.5189 1.5189 1.5189

***

Entry 4:
ErTe3PbAu, optimized geometry, DFT PBE; M_tot = 0.0 μB/f.u.; density = 8.91 g/cm3; polymorph energy (0 for the lowest one) = 33 meV/atom
1.0
4.4444 0.0000 0.0000
0.0000 12.0762 0.0000
0.0000 0.0000 13.2548
Pb Te Er Au
4 12 4 4
Cartesian
1.1111 5.4299 3.6899
3.3333 11.4680 2.9375
3.3333 6.6464 9.5649
1.1111 0.6082 10.3173
1.1111 10.4464 0.4388
3.3333 5.4179 1.3417
3.3333 4.4083 6.1886
1.1111 11.4560 5.2857
3.3333 0.6202 7.9691
3.3333 9.9253 10.6950
1.1111 7.6680 7.0662
3.3333 1.6299 12.8160
1.1111 2.1509 2.5598
1.1111 6.6583 11.9130
3.3333 8.1890 4.0676
1.1111 3.8872 9.1872
1.1111 3.7528 13.0255
1.1111 2.2853 6.3981
3.3333 8.3234 0.2293
3.3333 9.7909 6.8567
1.1111 8.7754 2.5711
3.3333 3.3008 10.6837
3.3333 2.7373 4.0563
1.1111 9.3389 9.1985

***

Entry 5:
KTbAu, optimized geometry, DFT PBE; M_tot = 0.0 μB/f.u.; uncorrected energy = -2.3421 eV per atom; density = 7.29 g/cm3
1.0
1.0152 -0.5298 4.8983
-3.1183 -2.6282 2.9450
1.4194 -4.4758 1.8047
Au Tb K
1 1 1
Cartesian
-0.1709 -1.9085 2.4120
-0.5127 -5.7253 7.2360
0.0000 0.0000 0.0000

***

Entry 6:
ZnBNO, optimized geometry, DFT PBE; density = 5.39 g/cm3; polymorph energy (0 for the lowest one) = 206 meV/atom
1.0
-2.2599 0.8642 -3.3985
-3.9417 -0.6843 2.4471
-0.0721 6.4740 1.6943
B Zn O N
4 4 4 4
Cartesian
-2.6249 4.7504 -2.1479
-2.8063 4.0906 0.3655
-4.7614 2.3289 1.2176
-4.5799 2.9887 -1.2958
-4.9293 5.4731 1.9997
-2.3360 5.2951 2.7904
-2.9044 0.9636 -0.4936
-0.3110 0.7856 0.2972
-3.8208 2.4558 2.4203
-3.9444 3.0627 0.0963
-1.9804 4.0173 -0.9669
-1.8567 3.4105 1.3571
-0.1561 5.3144 1.2533
-3.2406 5.4072 0.7675
-5.1659 0.9755 0.9207
-2.0814 0.8827 1.4066

***

Entry 7:
K2Zr2Sb2O7, optimized geometry, DFT PBE; M_tot = 0.0 μB/f.u.; uncorrected energy = -6.8039 eV per atom; density = 4.14 g/cm3
1.0
-3.8605 -0.9782 -4.5764
5.9811 -0.0527 -1.0132
0.1824 -7.6068 1.4721
K Sb O Zr
2 2 7 2
Cartesian
2.7188 -1.1202 -2.0541
-0.4158 -7.5175 -2.0634
2.8165 -5.1983 -1.2649
-0.5136 -3.4394 -2.8526
2.5867 -6.8308 -2.5367
0.6733 -2.2721 -4.1034
-0.2837 -1.8068 -1.5808
-2.0260 -2.2483 -3.6461
4.3289 -6.3894 -0.4714
0.0912 -3.8034 0.7361
1.6297 -6.3656 -0.0141
0.0456 -1.9031 0.3683
0.1367 -5.7037 1.1038

***

Entry 8:
Ba2Na3NbN4, optimized geometry, DFT PBE; M_tot = 0.0 μB/f.u.; uncorrected energy = -5.6352 eV per atom; density = 4.56 g/cm3
1.0
5.9908 -3.0109 0.0000
5.9908 3.0109 0.0000
-5.8001 0.0000 9.9524
Na N Nb Ba
6 8 2 4
Cartesian
4.5407 -0.3879 2.4881
1.7811 0.4084 4.7247
1.6407 0.3879 7.4643
-1.1189 -0.4084 9.7009
7.3004 0.4084 0.2515
4.4003 -0.4084 5.2277
5.3737 1.5263 1.0722
-0.0420 0.7986 3.2690
0.8077 -1.5263 8.8802
2.4737 -1.5263 6.0484
9.1235 0.7986 1.7072
-2.9420 -0.7986 8.2452
6.2235 -0.7986 6.6834
3.7078 1.5263 3.9040
4.5407 2.6490 2.4881
1.6407 -2.6490 7.4643
-1.2208 -0.2684 6.1106
1.6793 0.2684 1.1344
4.5022 -0.2684 8.8180
7.4022 0.2684 3.8418

***

Entry 9:
YCoHgB, optimized geometry, DFT PBE; M_tot = 1.3 μB/f.u.; density = 8.77 g/cm3; polymorph energy (0 for the lowest one) = 254 meV/atom
1.0
-0.7890 2.6384 3.6627
-0.8627 4.4682 -0.5380
-4.2097 1.6315 0.7845
Co Hg B Y
1 1 1 1
Cartesian
-4.3961 6.5536 2.9319
-1.4654 2.1845 0.9773
0.0000 0.0000 0.0000
-2.9307 4.3691 1.9546

***

Entry 10:
SmTlSbTe3, optimized geometry, DFT PBE; M_tot = 0.0 μB/f.u.; uncorrected energy = -3.9664 eV per atom; density = 6.96 g/cm3
1.0
0.2520 8.1168 0.5071
-4.4237 -6.8082 0.5316
2.5793 -0.7894 11.3532
Te Sb Sm Tl
6 2 2 2
Cartesian
0.7966 5.6316 5.8250
-0.9706 1.9586 3.3552
-2.3889 -5.1125 6.5670
-1.2638 -5.4568 11.5191
-0.6217 -1.4394 9.0367
-0.3285 5.9760 0.8728
-2.2843 -6.7464 9.0454
0.6920 7.2656 3.3465
-2.0858 0.6543 0.5194
-0.7961 0.2596 6.1960
0.9457 3.5638 9.0285
-2.5380 -3.0446 3.3634

***

Entry 11:
Cs2NbCuS6, optimized geometry, DFT PBE; M_tot = 0.0 μB/f.u.; uncorrected energy = -4.4350 eV per atom; density = 4.30 g/cm3
1.0
-0.8977 6.7439 1.4080
0.0801 4.6643 -5.1484
-5.3304 -4.4146 0.6053
S Nb Cu Cs
6 1 1 2
Cartesian
-4.1634 1.8714 -3.0570
-1.5353 1.7464 -0.7829
-4.6528 2.9123 0.2249
-4.6127 5.2471 -2.3522
-1.4952 4.0812 -3.3600
-1.9847 5.1221 -0.0781
0.0000 0.0000 0.0000
-3.0740 3.4968 -1.5676
-1.9458 7.4524 -2.6540
-4.2022 -0.4590 -0.4812

***

Entry 12:
ErSnAu, optimized geometry, DFT PBE; M_tot = 0.0 μB/f.u.; uncorrected energy = -4.7928 eV per atom; density = 10.77 g/cm3
1.0
0.0000 -3.3393 3.3393
3.3393 0.0000 -3.3393
0.0000 3.3393 3.3393
Au Sn Er
1 1 1
Cartesian
0.0000 0.0000 0.0000
1.6697 -1.6697 1.6697
1.6697 1.6697 1.6697